Entry 1:
DFT (PBE) results for ZrSbPd after structural relaxation.

## Properties
Magnetic moment, μB/f.u.: 0.0
Total DFT energy (no corrections), eV/f.u.: -19.699

Cell lengths 7.3187, 7.3187, 3.9523 Å; angles 90.00, 90.00, 120.00 degrees
With the nearest neighbours (Å) after each atom.
Fractional coordinates of all 9 atoms:
Zr  0.0000  0.6212  0.0000  5 Pd 2.77-3.03
Zr  0.3788  0.3788  0.0000  5 Pd 2.77-3.03
Zr  0.6212  0.0000  0.0000  5 Pd 2.77-3.03
Sb  0.0000  0.2848  0.5000  4 Pd 2.64-2.87
Sb  0.2848  0.0000  0.5000  4 Pd 2.64-2.87
Sb  0.7152  0.7152  0.5000  4 Pd 2.64-2.87
Pd  0.0000  0.0000  0.0000  3 Zr 2.77, 6 Sb 2.87
Pd  0.3333  0.6667  0.5000  3 Sb 2.64
Pd  0.6667  0.3333  0.5000  3 Sb 2.64

=====

Entry 2:
DFT (PBE) results for Sc3Pd5 after structural relaxation.

## Properties
Energy of formation from the pure elements, eV/atom: -0.9115
Magnetic moment, μB/f.u.: 0.0
Total DFT energy (no corrections), eV/f.u.: -52.153

Cell lengths 5.5844, 5.5844, 8.9890 Å; angles 90.00, 90.00, 76.11 degrees
With the nearest neighbours (Å) after each atom.
Fractional coordinates of all 16 atoms:
Sc  0.0762  0.9238  0.7500  9 Pd 2.66-2.97
Sc  0.2898  0.2898  0.0000  10 Pd 2.75-2.93
Sc  0.2898  0.2898  0.5000  10 Pd 2.75-2.93
Sc  0.7102  0.7102  0.0000  10 Pd 2.75-2.93
Sc  0.7102  0.7102  0.5000  10 Pd 2.75-2.93
Sc  0.9238  0.0762  0.2500  9 Pd 2.66-2.97
Pd  0.0101  0.5302  0.2500  6 Sc 2.69-2.97, 4 Pd 2.78-2.85
Pd  0.2067  0.7933  0.0284  6 Sc 2.66-2.93, 4 Pd 2.85-2.92
Pd  0.2067  0.7933  0.4716  6 Sc 2.66-2.93, 4 Pd 2.85-2.92
Pd  0.4698  0.9899  0.2500  6 Sc 2.69-2.97, 4 Pd 2.78-2.85
Pd  0.4829  0.5171  0.7500  6 Pd 2.78-2.92, 5 Sc 2.80-2.91
Pd  0.5171  0.4829  0.2500  6 Pd 2.78-2.92, 5 Sc 2.80-2.91
Pd  0.5302  0.0101  0.7500  6 Sc 2.69-2.97, 4 Pd 2.78-2.85
Pd  0.7933  0.2067  0.5284  6 Sc 2.66-2.93, 4 Pd 2.85-2.92
Pd  0.7933  0.2067  0.9716  6 Sc 2.66-2.93, 4 Pd 2.85-2.92
Pd  0.9899  0.4698  0.7500  6 Sc 2.69-2.97, 4 Pd 2.78-2.85